A relaxed structure of PrTmSe2. Source: the Open Quantum Materials Database, functional PBE.

Computed properties:
The value obtained for the total moment is 0.0 Bohr magnetons per cell. The total DFT energy (no corrections) comes out at -23.29 eV for the cell shown. As for the space-group type: R-3m.

extended XYZ file:
```
4
Lattice="4.696 -5.114 -2.553 4.821 -2.058 -5.220 6.946 -1.828 -1.770" Properties=species:S:1:pos:R:3 pbc="T T T"
Pr 8.232 -4.500 -4.772
Se 4.247 -2.322 -2.462
Se 12.216 -6.678 -7.082
Tm 0.000 0.000 0.000
```


A relaxed structure of Pr2YSe3. Source: the Open Quantum Materials Database, functional PBE.

Computed properties:
The value obtained for the total moment is 0.0 Bohr magnetons per cell. The total DFT energy (no corrections) comes out at -37.40 eV for the cell shown. As for the space-group type: P-3m1.

extended XYZ file:
```
6
Lattice="4.177 0.000 0.000 -2.088 3.617 0.000 0.000 0.000 10.391" Properties=species:S:1:pos:R:3 pbc="T T T"
Pr 0.000 2.411 1.763
Pr 2.088 1.206 8.627
Se 0.000 0.000 0.000
Se 2.088 1.206 3.592
Se 0.000 2.411 6.799
Y 0.000 0.000 5.195
```